# 1
## Cu5Ag4 (PBE)

Data for Cu5Ag4 after structural relaxation.

Structure (CIF):
```
data_Cu5Ag4
_cell_length_a 4.799
_cell_length_b 4.799
_cell_length_c 6.622
_cell_angle_alpha 90.00
_cell_angle_beta 90.00
_cell_angle_gamma 120.00
_space_group_name_H-M_alt 'P 1'
_space_group_IT_number 1
loop_
_space_group_symop_operation_xyz
'x,y,z'
loop_
_atom_site_label
_atom_site_type_symbol
_atom_site_fract_x
_atom_site_fract_y
_atom_site_fract_z
Ag1 Ag 0.000 0.000 0.318
Ag2 Ag 0.664 0.000 0.672
Ag3 Ag 0.336 0.336 0.672
Ag4 Ag 0.000 0.664 0.672
Cu1 Cu 0.351 0.000 0.010
Cu2 Cu 0.000 0.351 0.010
Cu3 Cu 0.649 0.649 0.010
Cu4 Cu 0.667 0.333 0.318
Cu5 Cu 0.333 0.667 0.318
```

Values from the calculation:
E_form, meV per atom: 109
E above lowest polymorph, meV per atom: 68
Symmetry: P31m
Density, Mg/m³: 9.4
V, Å³/atom: 14.7



# 2
## PrDyTh (PBE)

Data for PrDyTh after structural relaxation.

Structure (CIF):
```
data_PrDyTh
_cell_length_a 5.456
_cell_length_b 5.456
_cell_length_c 5.456
_cell_angle_alpha 60.00
_cell_angle_beta 60.00
_cell_angle_gamma 60.00
_space_group_name_H-M_alt 'P 1'
_space_group_IT_number 1
loop_
_space_group_symop_operation_xyz
'x,y,z'
loop_
_atom_site_label
_atom_site_type_symbol
_atom_site_fract_x
_atom_site_fract_y
_atom_site_fract_z
Dy1 Dy 0.000 0.000 0.000
Pr1 Pr 0.250 0.250 0.250
Th1 Th 0.750 0.750 0.750
```

Values from the calculation:
E_form, meV per atom: 777
E above lowest polymorph, meV per atom: 0
Symmetry: F-43m
Density, Mg/m³: 7.7
V, Å³/atom: 38.3



# 3
## ScInCu2 (PBE)

Data for ScInCu2 after structural relaxation.

Structure (CIF):
```
data_ScInCu2
_cell_length_a 4.336
_cell_length_b 4.336
_cell_length_c 3.598
_cell_angle_alpha 90.00
_cell_angle_beta 90.00
_cell_angle_gamma 90.00
_space_group_name_H-M_alt 'P 1'
_space_group_IT_number 1
loop_
_space_group_symop_operation_xyz
'x,y,z'
loop_
_atom_site_label
_atom_site_type_symbol
_atom_site_fract_x
_atom_site_fract_y
_atom_site_fract_z
Cu1 Cu 0.500 0.000 0.500
Cu2 Cu 0.000 0.500 0.500
In1 In 0.000 0.000 0.000
Sc1 Sc 0.500 0.500 0.000
```

Values from the calculation:
Symmetry: P4/mmm
Density, Mg/m³: 7.0
V, Å³/atom: 16.9
VASP energy, Ha/atom: -0.1573



# 4
## CsThAgTe3 (PBE)

Data for CsThAgTe3 after structural relaxation.

Structure (CIF):
```
data_CsThAgTe3
_cell_length_a 8.735
_cell_length_b 8.735
_cell_length_c 11.806
_cell_angle_alpha 90.00
_cell_angle_beta 90.00
_cell_angle_gamma 149.70
_space_group_name_H-M_alt 'P 1'
_space_group_IT_number 1
loop_
_space_group_symop_operation_xyz
'x,y,z'
loop_
_atom_site_label
_atom_site_type_symbol
_atom_site_fract_x
_atom_site_fract_y
_atom_site_fract_z
Ag1 Ag 0.462 0.538 0.250
Ag2 Ag 0.538 0.462 0.750
Cs1 Cs 0.748 0.252 0.250
Cs2 Cs 0.252 0.748 0.750
Te1 Te 0.374 0.626 0.047
Te2 Te 0.064 0.936 0.250
Te3 Te 0.374 0.626 0.453
Te4 Te 0.626 0.374 0.547
Te5 Te 0.936 0.064 0.750
Te6 Te 0.626 0.374 0.953
Th1 Th 0.000 0.000 0.000
Th2 Th 0.000 0.000 0.500
```

Values from the calculation:
Symmetry: Cmcm
Density, Mg/m³: 6.3
V, Å³/atom: 37.9
VASP energy, Ha/atom: -0.1641



# 5
## NdTlSnTe3 (PBE)

Data for NdTlSnTe3 after structural relaxation.

Structure (CIF):
```
data_NdTlSnTe3
_cell_length_a 7.968
_cell_length_b 7.968
_cell_length_c 11.811
_cell_angle_alpha 90.00
_cell_angle_beta 90.00
_cell_angle_gamma 145.18
_space_group_name_H-M_alt 'P 1'
_space_group_IT_number 1
loop_
_space_group_symop_operation_xyz
'x,y,z'
loop_
_atom_site_label
_atom_site_type_symbol
_atom_site_fract_x
_atom_site_fract_y
_atom_site_fract_z
Nd1 Nd 0.000 0.000 0.000
Nd2 Nd 0.000 0.000 0.500
Sn1 Sn 0.472 0.528 0.250
Sn2 Sn 0.528 0.472 0.750
Te1 Te 0.359 0.641 0.041
Te2 Te 0.096 0.904 0.250
Te3 Te 0.359 0.641 0.459
Te4 Te 0.641 0.359 0.541
Te5 Te 0.904 0.096 0.750
Te6 Te 0.641 0.359 0.959
Tl1 Tl 0.758 0.242 0.250
Tl2 Tl 0.242 0.758 0.750
```

Values from the calculation:
Symmetry: Cmcm
Density, Mg/m³: 6.6
V, Å³/atom: 35.7
VASP energy, Ha/atom: -0.1490



# 6
## U2S3 (PBE)

Data for U2S3 after structural relaxation.

Structure (CIF):
```
data_U2S3
_cell_length_a 10.414
_cell_length_b 10.484
_cell_length_c 3.788
_cell_angle_alpha 90.00
_cell_angle_beta 90.00
_cell_angle_gamma 90.00
_space_group_name_H-M_alt 'P 1'
_space_group_IT_number 1
loop_
_space_group_symop_operation_xyz
'x,y,z'
loop_
_atom_site_label
_atom_site_type_symbol
_atom_site_fract_x
_atom_site_fract_y
_atom_site_fract_z
S1 S 0.870 0.052 0.250
S2 S 0.205 0.226 0.250
S3 S 0.946 0.373 0.250
S4 S 0.630 0.552 0.250
S5 S 0.295 0.726 0.250
S6 S 0.554 0.873 0.250
S7 S 0.446 0.127 0.750
S8 S 0.705 0.274 0.750
S9 S 0.370 0.448 0.750
S10 S 0.054 0.627 0.750
S11 S 0.795 0.774 0.750
S12 S 0.130 0.948 0.750
U1 U 0.510 0.313 0.250
U2 U 0.183 0.489 0.250
U3 U 0.990 0.813 0.250
U4 U 0.317 0.989 0.250
U5 U 0.683 0.011 0.750
U6 U 0.010 0.187 0.750
U7 U 0.817 0.511 0.750
U8 U 0.490 0.687 0.750
```

Values from the calculation:
Symmetry: Pnma
Density, Mg/m³: 9.2
V, Å³/atom: 20.7
VASP energy, Ha/atom: -0.3112